1.
# Ca2Sn6Ir, optimized geometry, DFT PBE
data_Ca2Sn6Ir
_chemical_formula_sum 'Ca4 Sn12 Ir2'
_cell_length_a 7.086
_cell_length_b 17.324
_cell_length_c 4.035
_cell_angle_alpha 90.00
_cell_angle_beta 90.00
_cell_angle_gamma 90.00
_space_group_name_H-M_alt 'C m m m'
_space_group_IT_number 65
_space_group_name_Hall '-C 2 2'
loop_
_atom_site_label
_atom_site_fract_x
_atom_site_fract_y
_atom_site_fract_z
Ca1 0.000 0.218 0.000
Sn1 0.201 0.362 0.500
Sn2 0.230 0.000 0.000
Ir1 0.000 0.500 0.500
# ΔH_f (0 K)   -2.76 eV per formula unit
# Polymorph energy (0 for the lowest one)   0.36 eV per formula unit
# Crystal system   orthorhombic

2.
# Th2CdAg, optimized geometry, DFT PBE
data_Th2CdAg
_chemical_formula_sum 'Th2 Cd1 Ag1'
_cell_length_a 4.816
_cell_length_b 4.816
_cell_length_c 4.596
_cell_angle_alpha 90.00
_cell_angle_beta 90.00
_cell_angle_gamma 90.00
_space_group_name_H-M_alt 'P 4/m m m'
_space_group_IT_number 123
_space_group_name_Hall '-P 4 2'
loop_
_atom_site_label
_atom_site_fract_x
_atom_site_fract_y
_atom_site_fract_z
Th1 0.000 0.500 0.000
Cd1 0.000 0.000 0.500
Ag1 0.500 0.500 0.500
# ΔH_f (0 K)   -0.20 eV per formula unit
# Crystal system   tetragonal

3.
# SrMn, optimized geometry, DFT PBE
data_SrMn
_chemical_formula_sum 'Sr8 Mn8'
_cell_length_a 9.334
_cell_length_b 9.334
_cell_length_c 9.334
_cell_angle_alpha 90.00
_cell_angle_beta 90.00
_cell_angle_gamma 90.00
_space_group_name_H-M_alt 'I -4 3 m'
_space_group_IT_number 217
_space_group_name_Hall 'I -4 2 3'
loop_
_atom_site_label
_atom_site_fract_x
_atom_site_fract_y
_atom_site_fract_z
Sr1 0.209 0.209 0.791
Mn1 0.094 0.094 0.094
# ΔH_f (0 K)   1.82 eV per formula unit
# Crystal system   cubic

4.
# SmEuGdMg, optimized geometry, DFT PBE
data_SmEuGdMg
_chemical_formula_sum 'Sm4 Eu4 Gd4 Mg4'
_cell_length_a 7.973
_cell_length_b 7.973
_cell_length_c 7.973
_cell_angle_alpha 90.00
_cell_angle_beta 90.00
_cell_angle_gamma 90.00
_space_group_name_H-M_alt 'F -4 3 m'
_space_group_IT_number 216
_space_group_name_Hall 'F -4 2 3'
loop_
_atom_site_label
_atom_site_fract_x
_atom_site_fract_y
_atom_site_fract_z
Sm1 0.000 0.000 0.000
Eu1 0.250 0.250 0.250
Gd1 0.000 0.000 0.500
Mg1 0.250 0.250 0.750
# ΔH_f (0 K)   0.22 eV per formula unit
# Crystal system   cubic

5.
# Al2Cd2Co, optimized geometry, DFT PBE
data_Al2Cd2Co
_chemical_formula_sum 'Al4 Cd4 Co2'
_cell_length_a 6.354
_cell_length_b 6.354
_cell_length_c 4.462
_cell_angle_alpha 90.00
_cell_angle_beta 90.00
_cell_angle_gamma 90.00
_space_group_name_H-M_alt 'P 4/m b m'
_space_group_IT_number 127
_space_group_name_Hall '-P 4 2ab'
loop_
_atom_site_label
_atom_site_fract_x
_atom_site_fract_y
_atom_site_fract_z
Al1 0.155 0.345 0.000
Cd1 0.167 0.667 0.500
Co1 0.000 0.000 0.000
# ΔH_f (0 K)   1.11 eV per formula unit
# Crystal system   tetragonal

6.
# La2AlIn4Ag3, optimized geometry, DFT PBE
data_La2AlIn4Ag3
_chemical_formula_sum 'La2 Al1 In4 Ag3'
_cell_length_a 4.582
_cell_length_b 4.582
_cell_length_c 11.789
_cell_angle_alpha 90.00
_cell_angle_beta 90.00
_cell_angle_gamma 90.00
_space_group_name_H-M_alt 'P -4 m 2'
_space_group_IT_number 115
_space_group_name_Hall 'P -4 -2'
loop_
_atom_site_label
_atom_site_fract_x
_atom_site_fract_y
_atom_site_fract_z
La1 0.000 0.500 0.245
Al1 0.500 0.500 0.000
In1 0.000 0.000 0.500
In2 0.000 0.500 0.865
In3 0.500 0.500 0.500
Ag1 0.000 0.000 0.000
Ag2 0.000 0.500 0.639
# ΔH_f (0 K)   -3.29 eV per formula unit
# Crystal system   tetragonal

7.
# TcBF2, optimized geometry, DFT PBE
data_TcBF2
_chemical_formula_sum 'Tc3 B3 F6'
_cell_length_a 2.6328
_cell_length_b 2.6328
_cell_length_c 24.2606
_cell_angle_alpha 90.00
_cell_angle_beta 90.00
_cell_angle_gamma 120.00
_space_group_name_H-M_alt 'R -3 m'
_space_group_IT_number 166
_space_group_name_Hall '-R 3 2"'
loop_
_atom_site_label
_atom_site_fract_x
_atom_site_fract_y
_atom_site_fract_z
Tc1 0.0000 0.0000 0.0000
B1 0.0000 0.0000 0.5000
F1 0.0000 0.0000 0.0794
# Polymorph energy (0 for the lowest one)   1.38 eV per formula unit
# Crystal system   trigonal
# E_form (uncorrected)   -5 meV/atom

8.
# BaPrTl2Cd2, optimized geometry, DFT PBE
data_BaPrTl2Cd2
_chemical_formula_sum 'Ba1 Pr1 Tl2 Cd2'
_cell_length_a 5.1266
_cell_length_b 5.1266
_cell_length_c 8.3321
_cell_angle_alpha 90.00
_cell_angle_beta 90.00
_cell_angle_gamma 120.00
_space_group_name_H-M_alt 'P -3 m 1'
_space_group_IT_number 164
_space_group_name_Hall '-P 3 2"'
loop_
_atom_site_label
_atom_site_fract_x
_atom_site_fract_y
_atom_site_fract_z
Ba1 0.0000 0.0000 0.0000
Pr1 0.0000 0.0000 0.5000
Tl1 0.3333 0.6667 0.2915
Cd1 0.3333 0.6667 0.6974
# ΔH_f (0 K)   -2.19 eV per formula unit
# Crystal system   trigonal

9.
# Nb5B2Sb, optimized geometry, DFT PBE
data_Nb5B2Sb
_chemical_formula_sum 'Nb20 B8 Sb4'
_cell_length_a 6.418
_cell_length_b 6.418
_cell_length_c 12.049
_cell_angle_alpha 90.00
_cell_angle_beta 90.00
_cell_angle_gamma 90.00
_space_group_name_H-M_alt 'I 4/m c m'
_space_group_IT_number 140
_space_group_name_Hall '-I 4 2c'
loop_
_atom_site_label
_atom_site_fract_x
_atom_site_fract_y
_atom_site_fract_z
Nb1 0.000 0.000 0.000
Nb2 0.163 0.337 0.131
B1 0.122 0.378 0.500
Sb1 0.000 0.000 0.250
# Crystal system   tetragonal
# E_form (uncorrected)   -492 meV/atom

10.
# Y3AlGa, optimized geometry, DFT PBE
data_Y3AlGa
_chemical_formula_sum 'Y24 Al8 Ga8'
_cell_length_a 16.980
_cell_length_b 11.055
_cell_length_c 6.109
_cell_angle_alpha 90.00
_cell_angle_beta 109.97
_cell_angle_gamma 90.00
_space_group_name_H-M_alt 'C 1 2/c 1'
_space_group_IT_number 15
_space_group_name_Hall '-C 2yc'
loop_
_atom_site_label
_atom_site_fract_x
_atom_site_fract_y
_atom_site_fract_z
Y1 0.099 0.248 0.241
Y2 0.105 0.435 0.766
Y3 0.181 0.109 0.792
Al1 0.000 0.021 0.250
Al2 0.000 0.211 0.750
Ga1 0.238 0.364 0.599
# ΔH_f (0 K)   -1.35 eV per formula unit
# Polymorph energy (0 for the lowest one)   0.00 eV per formula unit
# Crystal system   monoclinic

11.
# TaCoB, optimized geometry, DFT PBE
data_TaCoB
_chemical_formula_sum 'Ta10 Co10 B10'
_cell_length_a 3.277
_cell_length_b 17.007
_cell_length_c 5.905
_cell_angle_alpha 90.00
_cell_angle_beta 90.00
_cell_angle_gamma 90.00
_space_group_name_H-M_alt 'P m m n'
_space_group_IT_number 59
loop_
_space_group_symop_operation_xyz
'x,y,z'
'-x,-y,-z'
'-x+1/2,-y+1/2,z'
'x+1/2,y+1/2,-z'
'x+1/2,-y,-z'
'-x+1/2,y,z'
'-x,y+1/2,-z'
'x,-y+1/2,z'
loop_
_atom_site_label
_atom_site_fract_x
_atom_site_fract_y
_atom_site_fract_z
Ta1 0.250 0.071 0.029
Ta2 0.250 0.125 0.523
Ta3 0.250 0.250 0.146
Co1 0.250 0.524 0.644
Co2 0.250 0.679 0.149
Co3 0.250 0.750 0.506
B1 0.250 0.250 0.734
B2 0.250 0.548 0.267
B3 0.250 0.649 0.769
# ΔH_f (0 K)   -1.86 eV per formula unit
# Crystal system   orthorhombic

12.
# ScCSN2, optimized geometry, DFT PBE
data_ScCSN2
_chemical_formula_sum 'Sc1 C1 S1 N2'
_cell_length_a 3.696
_cell_length_b 3.696
_cell_length_c 3.795
_cell_angle_alpha 90.00
_cell_angle_beta 90.00
_cell_angle_gamma 90.00
_space_group_name_H-M_alt 'P 4/m m m'
_space_group_IT_number 123
_space_group_name_Hall '-P 4 2'
loop_
_atom_site_label
_atom_site_fract_x
_atom_site_fract_y
_atom_site_fract_z
Sc1 0.000 0.000 0.000
C1 0.500 0.500 0.500
S1 0.500 0.500 0.000
N1 0.000 0.500 0.500
# Polymorph energy (0 for the lowest one)   0.00 eV per formula unit
# Crystal system   tetragonal
# E_form (uncorrected)   1182 meV/atom